No. 1
Below is CuHg4Mo after structural relaxation, with properties calculated at the PBE level.

Cell: 8.1058 8.1058 8.1058 Å, 90.00 90.00 90.00°
Space group F-43m (No. 216)
One atom of each set of equivalent atoms:
Cu (0.0000, 0.0000, 0.0000) x4
Hg (0.1250, 0.1250, 0.6250) x16
Mo (0.2500, 0.2500, 0.2500) x4

## Properties
Crystal system: cubic
E_form in eV per formula unit: 5.3
N(E_F) in states/eV/cell: 11.0
Magnetization in μB per cell: 15.1
Final energy in eV per atom: -1.802

No. 2
Below is CuHgMo4 after structural relaxation, with properties calculated at the PBE level.

Cell: 7.4428 7.4428 7.4428 Å, 90.00 90.00 90.00°
Space group F-43m (No. 216)
One atom of each set of equivalent atoms:
Cu (0.0000, 0.0000, 0.0000) x4
Hg (0.2500, 0.2500, 0.7500) x4
Mo (0.1261, 0.1261, 0.3739) x16

## Properties
Crystal system: cubic
E_form in eV per formula unit: 3.9
N(E_F) in states/eV/cell: 26.5
Magnetization in μB per cell: 0.0
Final energy in eV per atom: -7.298